Record 1
Compound: NdGd2Tl3PtAu2
Source: OQMD via LeMat-Bulk
Functional: PBE
Structure: optimized geometry

It has space group Amm2 (No. 38), with a = 3.998 Å, b = 13.625 Å, c = 7.871 Å, α = 90.00°, β = 90.00° and γ = 90.00°. The inequivalent atoms are Nd at (0.000, 0.000, 0.000), Gd at (0.000, 0.200, 0.600), Tl at (0.500, 0.000, 0.660), Tl at (0.500, 0.130, 0.271), Pt at (0.000, 0.000, 0.405) and Au at (0.500, 0.170, 0.899).

The value obtained for the total DFT energy (no corrections) is -79.10 eV per cell.

---

Record 2
Compound: Nd2GdZn3Pt2Au
Source: OQMD via LeMat-Bulk
Functional: PBE
Structure: optimized geometry

It has space group Amm2 (No. 38), with a = 3.938 Å, b = 12.927 Å, c = 7.503 Å, α = 90.00°, β = 90.00° and γ = 90.00°. The inequivalent atoms are Nd at (0.000, 0.205, 0.000), Gd at (0.000, 0.000, 0.386), Zn at (0.500, 0.000, 0.053), Zn at (0.500, 0.127, 0.665), Pt at (0.500, 0.163, 0.298) and Au at (0.000, 0.000, 0.791).

The energy relative to the elements is -0.833 eV per atom.

---

Record 3
Compound: NdGdSi4Au2
Source: OQMD via LeMat-Bulk
Functional: PBE
Structure: optimized geometry

It has space group Amm2 (No. 38), with a = 4.255 Å, b = 4.243 Å, c = 17.219 Å, α = 90.00°, β = 90.00° and γ = 90.00°. The inequivalent atoms are Nd at (0.000, 0.000, 0.000), Gd at (0.500, 0.000, 0.195), Si at (0.000, 0.000, 0.630), Si at (0.000, 0.000, 0.764), Si at (0.500, 0.000, 0.430), Si at (0.500, 0.000, 0.566), Au at (0.000, 0.000, 0.342) and Au at (0.500, 0.000, 0.850).

The value obtained for the total DFT energy (no corrections) is -84.81 eV per cell.

---

Record 4
Compound: Nd2GdSn4Au4
Source: OQMD via LeMat-Bulk
Functional: PBE
Structure: optimized geometry

It has space group Immm (No. 71), with a = 4.688 Å, b = 7.272 Å, c = 15.602 Å, α = 90.00°, β = 90.00° and γ = 90.00°. The inequivalent atoms are Nd at (0.000, 0.000, 0.130), Gd at (0.000, 0.500, 0.000), Sn at (0.000, 0.300, 0.500), Sn at (0.000, 0.500, 0.213) and Au at (0.000, 0.201, 0.330).

The value obtained for the total DFT energy (no corrections) is -101.68 eV per cell.

---

Record 5
Compound: Gd4Ni3Au
Source: OQMD via LeMat-Bulk
Functional: PBE
Structure: optimized geometry

It has space group Pm (No. 6), with a = 5.518 Å, b = 4.379 Å, c = 7.140 Å, α = 90.00°, β = 90.03° and γ = 90.00°. The inequivalent atoms are Gd at (0.000, 0.000, 0.000), Gd at (0.224, 0.000, 0.485), Gd at (0.498, 0.500, 0.142), Gd at (0.739, 0.500, 0.617), Ni at (0.222, 0.500, 0.767), Ni at (0.734, 0.000, 0.345), Ni at (0.993, 0.500, 0.271) and Au at (0.500, 0.000, 0.848).

The energy relative to the elements is -0.522 eV per atom.

---

Record 6
Compound: GdNiAu
Source: OQMD via LeMat-Bulk
Functional: PBE
Structure: optimized geometry

It has space group F-43m (No. 216), with a = 6.299 Å, b = 6.299 Å, c = 6.299 Å, α = 90.00°, β = 90.00° and γ = 90.00°. The inequivalent atoms are Gd at (0.000, 0.000, 0.000), Ni at (0.250, 0.250, 0.750) and Au at (0.000, 0.000, 0.500).

The energy relative to the elements is -0.469 eV per atom.

---

Record 7
Compound: Gd4NiAu3
Source: OQMD via LeMat-Bulk
Functional: PBE
Structure: optimized geometry

It has space group Pm (No. 6), with a = 5.627 Å, b = 4.645 Å, c = 7.262 Å, α = 90.00°, β = 91.09° and γ = 90.00°. The inequivalent atoms are Gd at (0.000, 0.000, 0.000), Gd at (0.208, 0.000, 0.518), Gd at (0.492, 0.500, 0.132), Gd at (0.722, 0.500, 0.646), Ni at (0.214, 0.500, 0.787), Au at (0.005, 0.500, 0.280), Au at (0.494, 0.000, 0.861) and Au at (0.698, 0.000, 0.365).

The energy relative to the elements is -0.746 eV per atom.

---

Record 8
Compound: Gd2TlNiAu
Source: OQMD via LeMat-Bulk
Functional: PBE
Structure: optimized geometry

It has space group Amm2 (No. 38), with a = 3.729 Å, b = 4.155 Å, c = 14.922 Å, α = 90.00°, β = 90.00° and γ = 90.00°. The inequivalent atoms are Gd at (0.000, 0.000, 0.000), Gd at (0.000, 0.000, 0.265), Tl at (0.500, 0.000, 0.627), Ni at (0.500, 0.000, 0.442) and Au at (0.500, 0.000, 0.835).

The value obtained for the total DFT energy (no corrections) is -46.66 eV per cell.

---

Record 9
Compound: Gd2AuO4
Source: OQMD via LeMat-Bulk
Functional: PBE
Structure: optimized geometry

It has space group Fd-3m (No. 227, origin choice 2), with a = 9.672 Å, b = 9.672 Å, c = 9.672 Å, α = 90.00°, β = 90.00° and γ = 90.00°. The inequivalent atoms are Gd at (0.000, 0.000, 0.000), Au at (0.125, 0.125, 0.625) and O at (0.013, 0.013, 0.237).

The value obtained for the total DFT energy (no corrections) is -381.64 eV per cell.

---

Record 10
Compound: Gd2Au2O5
Source: OQMD via LeMat-Bulk
Functional: PBE
Structure: optimized geometry

It has space group P4/mmm (No. 123), with a = 3.959 Å, b = 3.959 Å, c = 9.020 Å, α = 90.00°, β = 90.00° and γ = 90.00°. The inequivalent atoms are Gd at (0.000, 0.000, 0.246), Au at (0.500, 0.500, 0.000), Au at (0.500, 0.500, 0.500), O at (0.000, 0.000, 0.000) and O at (0.000, 0.500, 0.355).

The value obtained for the total DFT energy (no corrections) is -53.49 eV per cell.

---

Record 11
Compound: Gd4Au2O9
Source: OQMD via LeMat-Bulk
Functional: PBE
Structure: optimized geometry

It has space group Pbcn (No. 60), with a = 11.726 Å, b = 5.915 Å, c = 11.736 Å, α = 90.00°, β = 90.00° and γ = 90.00°. The inequivalent atoms are Gd at (0.011, 0.241, 0.091), Gd at (0.158, 0.199, 0.764), Au at (0.227, 0.419, 0.511), O at (0.000, 0.023, 0.250), O at (0.073, 0.384, 0.591), O at (0.113, 0.064, 0.945), O at (0.162, 0.436, 0.348) and O at (0.196, 0.129, 0.161).

The value obtained for the total DFT energy (no corrections) is -424.44 eV per cell.

---

Record 12
Compound: Gd2Au2O5
Source: OQMD via LeMat-Bulk
Functional: PBE
Structure: optimized geometry

It has space group P4/mmm (No. 123), with a = 4.175 Å, b = 4.175 Å, c = 6.991 Å, α = 90.00°, β = 90.00° and γ = 90.00°. The inequivalent atoms are Gd at (0.000, 0.000, 0.000), Gd at (0.000, 0.000, 0.500), Au at (0.500, 0.500, 0.191), O at (0.000, 0.500, 0.226) and O at (0.500, 0.500, 0.500).

The value obtained for the total DFT energy (no corrections) is -52.44 eV per cell.

---

Record 13
Compound: GdPAuO
Source: OQMD via LeMat-Bulk
Functional: PBE
Structure: optimized geometry

It has space group P4/nmm (No. 129, origin choice 2), with a = 4.063 Å, b = 4.063 Å, c = 8.356 Å, α = 90.00°, β = 90.00° and γ = 90.00°. The inequivalent atoms are Gd at (0.250, 0.250, 0.129), P at (0.250, 0.250, 0.688), Au at (0.250, 0.750, 0.500) and O at (0.250, 0.750, 0.000).

The value obtained for the total DFT energy (no corrections) is -49.24 eV per cell.

---

Record 14
Compound: GdPAuO
Source: OQMD via LeMat-Bulk
Functional: PBE
Structure: optimized geometry

It has space group Pmma (No. 51), with a = 4.554 Å, b = 4.902 Å, c = 6.299 Å, α = 90.00°, β = 90.00° and γ = 90.00°. The inequivalent atoms are Gd at (0.250, 0.000, 0.216), P at (0.000, 0.500, 0.500), Au at (0.250, 0.500, 0.870) and O at (0.250, 0.000, 0.865).

The value obtained for the total DFT energy (no corrections) is -46.84 eV per cell.

---

Record 15
Compound: GdPAuO
Source: OQMD via LeMat-Bulk
Functional: PBE
Structure: optimized geometry

It has space group Pmc2_1 (No. 26), with a = 3.825 Å, b = 7.437 Å, c = 5.979 Å, α = 90.00°, β = 90.00° and γ = 90.00°. The inequivalent atoms are Gd at (0.000, 0.225, 0.000), P at (0.000, 0.156, 0.501), Au at (0.500, 0.339, 0.510) and O at (0.500, 0.355, 0.009).

The value obtained for the total DFT energy (no corrections) is -46.57 eV per cell.

---

Record 16
Compound: GdPAuO
Source: OQMD via LeMat-Bulk
Functional: PBE
Structure: optimized geometry

It has space group P4/nmm (No. 129, origin choice 2), with a = 5.779 Å, b = 5.779 Å, c = 4.589 Å, α = 90.00°, β = 90.00° and γ = 90.00°. The inequivalent atoms are Gd at (0.250, 0.750, 0.000), P at (0.250, 0.250, 0.009), Au at (0.250, 0.250, 0.509) and O at (0.250, 0.750, 0.500).

The value obtained for the total DFT energy (no corrections) is -44.90 eV per cell.

---

Record 17
Compound: GdPd4Au3O12
Source: OQMD via LeMat-Bulk
Functional: PBE
Structure: optimized geometry

It has space group Im-3 (No. 204), with a = 7.737 Å, b = 7.737 Å, c = 7.737 Å, α = 90.00°, β = 90.00° and γ = 90.00°. The inequivalent atoms are Gd at (0.000, 0.000, 0.000), Pd at (0.250, 0.250, 0.250), Au at (0.000, 0.000, 0.500) and O at (0.000, 0.164, 0.293).

The value obtained for the total DFT energy (no corrections) is -214.91 eV per cell.

---

Record 18
Compound: GdAuSO
Source: OQMD via LeMat-Bulk
Functional: PBE
Structure: optimized geometry

It has space group Pmc2_1 (No. 26), with a = 4.149 Å, b = 6.147 Å, c = 6.467 Å, α = 90.00°, β = 90.00° and γ = 90.00°. The inequivalent atoms are Gd at (0.000, 0.208, 0.000), Au at (0.500, 0.282, 0.629), S at (0.500, 0.350, 0.244) and O at (0.000, 0.077, 0.686).

The value obtained for the total DFT energy (no corrections) is -45.72 eV per cell.

---

Record 19
Compound: GdAuSO
Source: OQMD via LeMat-Bulk
Functional: PBE
Structure: optimized geometry

It has space group Pca2_1 (No. 29), with a = 7.241 Å, b = 6.352 Å, c = 6.199 Å, α = 90.00°, β = 90.00° and γ = 90.00°. The inequivalent atoms are Gd at (0.098, 0.144, 0.000), Au at (0.184, 0.675, 0.123), S at (0.093, 0.397, 0.401) and O at (0.162, 0.991, 0.671).

The value obtained for the total DFT energy (no corrections) is -93.38 eV per cell.

---

Record 20
Compound: GdAuSO
Source: OQMD via LeMat-Bulk
Functional: PBE
Structure: optimized geometry

It has space group P4bm (No. 100), with a = 5.544 Å, b = 5.544 Å, c = 9.141 Å, α = 90.00°, β = 90.00° and γ = 90.00°. The inequivalent atoms are Gd at (0.000, 0.000, 0.000), Gd at (0.000, 0.500, 0.252), Au at (0.180, 0.320, 0.618), S at (0.000, 0.000, 0.418), S at (0.000, 0.500, 0.845) and O at (0.249, 0.251, 0.127).

The value obtained for the total DFT energy (no corrections) is -97.61 eV per cell.